Density functional theory data (PBE) for crystalline K2Zn3HgF12 at its relaxed geometry.

Results
Uncorrected energy   -3.649 eV/atom

Cell: 7.4282 7.4282 7.4282 Å, 60.36 60.36 60.36°
Element x y z (fractional)
K 0.1220 0.1220 0.1220
K 0.8780 0.8780 0.8780
Zn 0.0000 0.5000 0.5000
Zn 0.5000 0.0000 0.5000
Zn 0.5000 0.5000 0.0000
Hg 0.5000 0.5000 0.5000
F 0.1335 0.6017 0.6017
F 0.1944 0.1944 0.5871
F 0.1944 0.5871 0.1944
F 0.3983 0.3983 0.8665
F 0.3983 0.8665 0.3983
F 0.4129 0.8056 0.8056
F 0.5871 0.1944 0.1944
F 0.6017 0.1335 0.6017
F 0.6017 0.6017 0.1335
F 0.8056 0.4129 0.8056
F 0.8056 0.8056 0.4129
F 0.8665 0.3983 0.3983